# 1
First-principles (PBE) data for TiCuC3 after structural relaxation, as listed in Alexandria via LeMat-Bulk.

**Fermi-level density of states**: 3.294 states/eV/f.u.
**Symmetry**: No. 221
**Energy of formation from the pure elements**: 2.1179 eV/atom

abc: 3.763 3.763 3.763
angles: 90.00 90.00 90.00
Fractional positions:
1 C 0.000 0.500 0.000
2 C 0.000 0.000 0.500
3 C 0.500 0.000 0.000
4 Cu 0.000 0.000 0.000
5 Ti 0.500 0.500 0.500

---

# 2
First-principles (PBE) data for TiCu3C after structural relaxation, as listed in Alexandria via LeMat-Bulk.

**Fermi-level density of states**: 4.072 states/eV/f.u.
**Symmetry**: No. 221
**Energy of formation from the pure elements**: 0.4367 eV/atom

abc: 3.920 3.920 3.920
angles: 90.00 90.00 90.00
Fractional positions:
1 C 0.000 0.000 0.000
2 Cu 0.000 0.500 0.000
3 Cu 0.000 0.000 0.500
4 Cu 0.500 0.000 0.000
5 Ti 0.500 0.500 0.500

---

# 3
First-principles (PBE) data for TiCuC after structural relaxation, as listed in Alexandria via LeMat-Bulk.

**Fermi-level density of states**: 0.832 states/eV/f.u.
**Symmetry**: No. 2
**Energy of formation from the pure elements**: -0.0779 eV/atom

abc: 4.338 6.169 6.169
angles: 64.49 73.72 73.72
Fractional positions:
1 Cu 0.290 0.671 0.923
2 Cu 0.705 0.827 0.580
3 Cu 0.710 0.329 0.077
4 Cu 0.295 0.173 0.420
5 Ti 0.207 0.430 0.680
6 Ti 0.206 0.931 0.180
7 Ti 0.793 0.570 0.320
8 Ti 0.794 0.069 0.820
9 C 0.679 0.453 0.704
10 C 0.678 0.954 0.204
11 C 0.321 0.547 0.296
12 C 0.322 0.046 0.796

---

# 4
First-principles (PBE) data for Ti4CuC after structural relaxation, as listed in Alexandria via LeMat-Bulk.

**Fermi-level density of states**: 8.224 states/eV/f.u.
**Symmetry**: No. 14
**Energy of formation from the pure elements**: -0.1212 eV/atom

abc: 5.726 5.568 5.672
angles: 90.00 97.70 90.00
Fractional positions:
1 Ti 0.905 0.636 0.173
2 Ti 0.595 0.136 0.827
3 Ti 0.304 0.331 0.386
4 Ti 0.196 0.831 0.614
5 Ti 0.095 0.364 0.827
6 Ti 0.405 0.864 0.173
7 Ti 0.696 0.669 0.614
8 Ti 0.804 0.169 0.386
9 Cu 0.000 0.000 0.000
10 Cu 0.500 0.500 0.000
11 C 0.500 0.000 0.500
12 C 0.000 0.500 0.500

---

# 5
First-principles (PBE) data for Ti3CuC after structural relaxation, as listed in Alexandria via LeMat-Bulk.

**Fermi-level density of states**: 3.245 states/eV/f.u.
**Symmetry**: No. 63
**Energy of formation from the pure elements**: -0.4280 eV/atom

abc: 3.094 5.546 8.323
angles: 90.00 90.00 106.20
Fractional positions:
1 Ti 0.051 0.102 0.750
2 Ti 0.949 0.898 0.250
3 Ti 0.372 0.745 0.553
4 Ti 0.628 0.255 0.447
5 Ti 0.628 0.255 0.053
6 Ti 0.372 0.745 0.947
7 Cu 0.251 0.502 0.250
8 Cu 0.749 0.498 0.750
9 C 0.000 0.000 0.500
10 C 0.000 0.000 0.000

---

# 6
First-principles (PBE) data for TiCuC3 after structural relaxation, as listed in Alexandria via LeMat-Bulk.

**Fermi-level density of states**: 2.649 states/eV/f.u.
**Symmetry**: No. 221
**Energy of formation from the pure elements**: 2.1091 eV/atom

abc: 4.017 4.017 4.017
angles: 90.00 90.00 90.00
Fractional positions:
1 C 0.000 0.500 0.000
2 C 0.000 0.000 0.500
3 C 0.500 0.000 0.000
4 Cu 0.500 0.500 0.500
5 Ti 0.000 0.000 0.000

---

# 7
First-principles (PBE) data for Ti8CuC4 after structural relaxation, as listed in Alexandria via LeMat-Bulk.

**Fermi-level density of states**: 9.275 states/eV/f.u.
**Symmetry**: No. 8
**Energy of formation from the pure elements**: -0.5533 eV/atom

abc: 3.089 7.535 7.763
angles: 82.63 78.52 78.17
Fractional positions:
1 Ti 0.153 0.322 0.373
2 Ti 0.558 0.648 0.236
3 Ti 0.474 0.355 0.697
4 Ti 0.879 0.682 0.560
5 Ti 0.855 0.989 0.301
6 Ti 0.214 0.668 0.903
7 Ti 0.176 0.015 0.633
8 Ti 0.817 0.336 0.030
9 Cu 0.516 0.001 0.967
10 C 0.367 0.835 0.430
11 C 0.846 0.511 0.797
12 C 0.186 0.492 0.136
13 C 0.664 0.168 0.504

---

# 8
First-principles (PBE) data for TiCu3C after structural relaxation, as listed in Alexandria via LeMat-Bulk.

**Fermi-level density of states**: 4.729 states/eV/f.u.
**Symmetry**: No. 221
**Energy of formation from the pure elements**: 2.5250 eV/atom

abc: 4.597 4.597 4.597
angles: 90.00 90.00 90.00
Fractional positions:
1 C 0.500 0.500 0.500
2 Cu 0.000 0.500 0.000
3 Cu 0.000 0.000 0.500
4 Cu 0.500 0.000 0.000
5 Ti 0.000 0.000 0.000

---

# 9
First-principles (PBE) data for Ti6CuC3 after structural relaxation, as listed in Alexandria via LeMat-Bulk.

**Fermi-level density of states**: 5.228 states/eV/f.u.
**Symmetry**: No. 11
**Energy of formation from the pure elements**: -0.5134 eV/atom

abc: 3.076 9.300 9.374
angles: 106.37 90.00 90.00
Fractional positions:
1 Ti 0.750 0.510 0.632
2 Ti 0.250 0.490 0.368
3 Ti 0.750 0.930 0.097
4 Ti 0.250 0.070 0.903
5 Ti 0.750 0.385 0.047
6 Ti 0.250 0.615 0.953
7 Ti 0.750 0.690 0.254
8 Ti 0.250 0.310 0.746
9 Ti 0.750 0.200 0.469
10 Ti 0.250 0.800 0.531
11 Ti 0.750 0.799 0.783
12 Ti 0.250 0.201 0.217
13 Cu 0.750 0.042 0.654
14 Cu 0.250 0.958 0.346
15 C 0.750 0.465 0.848
16 C 0.250 0.535 0.152
17 C 0.750 0.642 0.469
18 C 0.250 0.358 0.531
19 C 0.750 0.150 0.062
20 C 0.250 0.850 0.938

---

# 10
First-principles (PBE) data for TiTlCuC2 after structural relaxation, as listed in Alexandria via LeMat-Bulk.

**Fermi-level density of states**: 3.358 states/eV/f.u.
**Symmetry**: No. 123
**Energy of formation from the pure elements**: 1.6086 eV/atom

abc: 4.011 5.566 4.011
angles: 90.00 90.00 90.00
Fractional positions:
1 Tl 0.000 0.500 0.000
2 C 0.000 0.000 0.500
3 C 0.500 0.000 0.000
4 Cu 0.500 0.500 0.500
5 Ti 0.000 0.000 0.000

---

# 11
First-principles (PBE) data for Ti2VCuC after structural relaxation, as listed in Alexandria via LeMat-Bulk.

**Fermi-level density of states**: 2.625 states/eV/f.u.
**Symmetry**: No. 123
**Energy of formation from the pure elements**: -0.2764 eV/atom

abc: 4.151 4.151 3.935
angles: 90.00 90.00 90.00
Fractional positions:
1 C 0.000 0.000 0.000
2 Ti 0.000 0.500 0.000
3 Ti 0.500 0.000 0.000
4 Cu 0.500 0.500 0.500
5 V 0.000 0.000 0.500

---

# 12
First-principles (PBE) data for TiCuW2C after structural relaxation, as listed in Alexandria via LeMat-Bulk.

**Fermi-level density of states**: 7.052 states/eV/f.u.
**Symmetry**: No. 123
**Energy of formation from the pure elements**: 3.0458 eV/atom

abc: 4.546 4.507 4.546
angles: 90.00 90.00 90.00
Fractional positions:
1 C 0.500 0.500 0.500
2 Cu 0.000 0.500 0.000
3 W 0.000 0.000 0.500
4 W 0.500 0.000 0.000
5 Ti 0.000 0.000 0.000

---

# 13
First-principles (PBE) data for ZrTi2CuC after structural relaxation, as listed in Alexandria via LeMat-Bulk.

**Fermi-level density of states**: 2.811 states/eV/f.u.
**Symmetry**: No. 123
**Energy of formation from the pure elements**: -0.3190 eV/atom

abc: 4.164 4.164 4.479
angles: 90.00 90.00 90.00
Fractional positions:
1 C 0.000 0.000 0.000
2 Cu 0.500 0.500 0.500
3 Zr 0.000 0.000 0.500
4 Ti 0.000 0.500 0.000
5 Ti 0.500 0.000 0.000

---

# 14
First-principles (PBE) data for Zr2TiCuC after structural relaxation, as listed in Alexandria via LeMat-Bulk.

**Fermi-level density of states**: 2.964 states/eV/f.u.
**Symmetry**: No. 123
**Energy of formation from the pure elements**: -0.2924 eV/atom

abc: 4.504 4.504 4.160
angles: 90.00 90.00 90.00
Fractional positions:
1 C 0.000 0.000 0.000
2 Cu 0.500 0.500 0.500
3 Zr 0.000 0.500 0.000
4 Zr 0.500 0.000 0.000
5 Ti 0.000 0.000 0.500

---

# 15
First-principles (PBE) data for Tl2Cu4C after structural relaxation, as listed in Alexandria via LeMat-Bulk.

**Fermi-level density of states**: 4.065 states/eV/f.u.
**Symmetry**: No. 139
**Energy of formation from the pure elements**: 0.4055 eV/atom

abc: 3.905 3.905 8.064
angles: 75.99 75.99 90.00
Fractional positions:
1 Tl 0.679 0.679 0.643
2 Tl 0.321 0.321 0.357
3 C 0.000 0.000 0.000
4 Cu 0.872 0.872 0.255
5 Cu 0.128 0.128 0.745
6 Cu 0.000 0.500 0.000
7 Cu 0.500 0.000 0.000

---

# 16
First-principles (PBE) data for TlCu2C after structural relaxation, as listed in Alexandria via LeMat-Bulk.

**Fermi-level density of states**: 3.269 states/eV/f.u.
**Symmetry**: No. 141
**Energy of formation from the pure elements**: 0.7482 eV/atom

abc: 4.959 4.959 6.756
angles: 68.47 68.47 90.00
Fractional positions:
1 Tl 0.000 0.000 0.000
2 Tl 0.750 0.250 0.500
3 C 0.500 0.500 0.000
4 C 0.250 0.750 0.500
5 Cu 0.375 0.125 0.250
6 Cu 0.375 0.625 0.250
7 Cu 0.375 0.625 0.750
8 Cu 0.875 0.625 0.750

---

# 17
First-principles (PBE) data for Tl2CuC after structural relaxation, as listed in Alexandria via LeMat-Bulk.

**Fermi-level density of states**: 2.197 states/eV/f.u.
**Symmetry**: No. 225
**Energy of formation from the pure elements**: 1.4518 eV/atom

abc: 4.714 4.714 4.714
angles: 60.00 60.00 60.00
Fractional positions:
1 Tl 0.250 0.250 0.250
2 Tl 0.750 0.750 0.750
3 C 0.000 0.000 0.000
4 Cu 0.500 0.500 0.500

---

# 18
First-principles (PBE) data for TlCuC3 after structural relaxation, as listed in Alexandria via LeMat-Bulk.

**Fermi-level density of states**: 4.279 states/eV/f.u.
**Symmetry**: No. 221
**Energy of formation from the pure elements**: 2.6730 eV/atom

abc: 4.013 4.013 4.013
angles: 90.00 90.00 90.00
Fractional positions:
1 Tl 0.500 0.500 0.500
2 C 0.000 0.500 0.000
3 C 0.000 0.000 0.500
4 C 0.500 0.000 0.000
5 Cu 0.000 0.000 0.000

---

# 19
First-principles (PBE) data for Tl3CuC after structural relaxation, as listed in Alexandria via LeMat-Bulk.

**Fermi-level density of states**: 2.518 states/eV/f.u.
**Symmetry**: No. 221
**Energy of formation from the pure elements**: 1.4003 eV/atom

abc: 5.197 5.197 5.197
angles: 90.00 90.00 90.00
Fractional positions:
1 Tl 0.000 0.500 0.000
2 Tl 0.000 0.000 0.500
3 Tl 0.500 0.000 0.000
4 C 0.500 0.500 0.500
5 Cu 0.000 0.000 0.000

---

# 20
First-principles (PBE) data for Tl2CuC after structural relaxation, as listed in Alexandria via LeMat-Bulk.

**Fermi-level density of states**: 2.594 states/eV/f.u.
**Symmetry**: No. 122
**Energy of formation from the pure elements**: 1.2381 eV/atom

abc: 6.133 6.133 6.477
angles: 61.74 61.74 90.00
Fractional positions:
1 Tl 0.567 0.125 0.250
2 Tl 0.183 0.625 0.250
3 Tl 0.375 0.433 0.750
4 Tl 0.875 0.817 0.750
5 C 0.500 0.500 0.000
6 C 0.250 0.750 0.500
7 Cu 0.000 0.000 0.000
8 Cu 0.750 0.250 0.500

---

# 21
First-principles (PBE) data for TlCuC2 after structural relaxation, as listed in Alexandria via LeMat-Bulk.

**Fermi-level density of states**: 2.150 states/eV/f.u.
**Symmetry**: No. 122
**Energy of formation from the pure elements**: 1.8481 eV/atom

abc: 4.939 4.939 6.002
angles: 65.70 65.70 90.00
Fractional positions:
1 Tl 0.000 0.000 0.000
2 Tl 0.750 0.250 0.500
3 C 0.544 0.125 0.250
4 C 0.206 0.625 0.250
5 C 0.375 0.456 0.750
6 C 0.875 0.794 0.750
7 Cu 0.500 0.500 0.000
8 Cu 0.250 0.750 0.500

---

# 22
First-principles (PBE) data for TlCuC3 after structural relaxation, as listed in Alexandria via LeMat-Bulk.

**Fermi-level density of states**: 4.149 states/eV/f.u.
**Symmetry**: No. 221
**Energy of formation from the pure elements**: 3.7122 eV/atom

abc: 4.401 4.401 4.401
angles: 90.00 90.00 90.00
Fractional positions:
1 Tl 0.000 0.000 0.000
2 C 0.000 0.500 0.000
3 C 0.000 0.000 0.500
4 C 0.500 0.000 0.000
5 Cu 0.500 0.500 0.500

---

# 23
First-principles (PBE) data for TlCuC2 after structural relaxation, as listed in Alexandria via LeMat-Bulk.

**Fermi-level density of states**: 2.253 states/eV/f.u.
**Symmetry**: No. 225
**Energy of formation from the pure elements**: 2.4195 eV/atom

abc: 4.147 4.147 4.147
angles: 60.00 60.00 60.00
Fractional positions:
1 Tl 0.500 0.500 0.500
2 C 0.250 0.250 0.250
3 C 0.750 0.750 0.750
4 Cu 0.000 0.000 0.000

---

# 24
First-principles (PBE) data for TlCu2C after structural relaxation, as listed in Alexandria via LeMat-Bulk.

**Fermi-level density of states**: 3.089 states/eV/f.u.
**Symmetry**: No. 225
**Energy of formation from the pure elements**: 1.4814 eV/atom

abc: 4.328 4.328 4.328
angles: 60.00 60.00 60.00
Fractional positions:
1 Tl 0.500 0.500 0.500
2 C 0.000 0.000 0.000
3 Cu 0.250 0.250 0.250
4 Cu 0.750 0.750 0.750

---

# 25
First-principles (PBE) data for Tl3CuC after structural relaxation, as listed in Alexandria via LeMat-Bulk.

**Fermi-level density of states**: 3.194 states/eV/f.u.
**Symmetry**: No. 221
**Energy of formation from the pure elements**: 1.1579 eV/atom

abc: 4.973 4.973 4.973
angles: 90.00 90.00 90.00
Fractional positions:
1 Tl 0.000 0.500 0.000
2 Tl 0.000 0.000 0.500
3 Tl 0.500 0.000 0.000
4 C 0.000 0.000 0.000
5 Cu 0.500 0.500 0.500

---

# 26
First-principles (PBE) data for Y2TlCuC after structural relaxation, as listed in Alexandria via LeMat-Bulk.

**Fermi-level density of states**: 4.318 states/eV/f.u.
**Symmetry**: No. 123
**Energy of formation from the pure elements**: -0.1939 eV/atom

abc: 5.053 5.053 3.940
angles: 90.00 90.00 90.00
Fractional positions:
1 Y 0.000 0.500 0.000
2 Y 0.500 0.000 0.000
3 Tl 0.500 0.500 0.500
4 C 0.000 0.000 0.000
5 Cu 0.000 0.000 0.500

---

Number 1: E -5.81 eV per atom. Number 2: E -5.44 eV per atom. Number 3: E -7.15 eV per atom. Number 4: E -7.60 eV per atom. Number 5: E -7.83 eV per atom. Number 6: E -5.82 eV per atom. Number 7: E -8.56 eV per atom. Number 8: E -3.36 eV per atom. Number 9: E -8.43 eV per atom. Number 10: E -4.95 eV per atom. Number 11: E -7.92 eV per atom. Number 12: E -6.38 eV per atom. Number 13: E -7.85 eV per atom. Number 14: E -7.95 eV per atom. Number 15: E -3.93 eV per atom. Number 16: E -4.20 eV per atom. Number 17: E -3.06 eV per atom. Number 18: E -4.15 eV per atom. Number 19: E -2.68 eV per atom. Number 20: E -3.28 eV per atom. Number 21: E -4.38 eV per atom. Number 22: E -3.11 eV per atom. Number 23: E -3.81 eV per atom. Number 24: E -3.46 eV per atom. Number 25: E -2.93 eV per atom. Number 26: E -5.92 eV per atom.